A plane-wave DFT calculation with GGA-PBE was carried out for CsAc2H after structural relaxation.

Lattice parameters (Å, degrees): 4.0479 4.0479 11.4467 79.82 79.82 60.00
Fractional coordinates of all 4 atoms:
Ac: 0.1219 0.1219 0.6343
Ac: 0.8781 0.8781 0.3657
Cs: 0.0000 0.0000 0.0000
H: 0.5000 0.5000 0.5000

## Properties
DFT total energy   -3.053 eV/atom
V   39.8 Å³ per atom
ρ   6139 kg/m³